# CsYBeTe3 PBE-GGA relaxed
data_CsYBeTe3
_cell_length_a 17.1482
_cell_length_b 5.0967
_cell_length_c 10.0243
_cell_angle_alpha 90.00
_cell_angle_beta 102.50
_cell_angle_gamma 90.00
_symmetry_space_group_name_H-M 'C 1 2/m 1'
_symmetry_Int_Tables_number 12
loop_
_symmetry_equiv_pos_as_xyz
'x,y,z'
'-x,-y,-z'
'-x,y,-z'
'x,-y,z'
'x+1/2,y+1/2,z'
'-x+1/2,-y+1/2,-z'
'-x+1/2,y+1/2,-z'
'x+1/2,-y+1/2,z'
loop_
_atom_site_label
_atom_site_type_symbol
_atom_site_fract_x
_atom_site_fract_y
_atom_site_fract_z
Cs1 Cs 0.1406 0.0000 0.0554
Y1 Y 0.1495 0.0000 0.5621
Be1 Be 0.0014 0.5000 0.2979
Te1 Te 0.0055 0.0000 0.3129
Te2 Te 0.1464 0.5000 0.7587
Te3 Te 0.1643 0.5000 0.3612
# - uncorrected formation energy (eV per atom) = -0.7606

---

# Li2Hf2P PBE-GGA relaxed
data_Li2Hf2P
_cell_length_a 6.6393
_cell_length_b 6.6393
_cell_length_c 4.9202
_cell_angle_alpha 90.00
_cell_angle_beta 90.00
_cell_angle_gamma 90.00
_symmetry_space_group_name_H-M 'P 4/m b m'
_symmetry_Int_Tables_number 127
_symmetry_space_group_name_Hall '-P 4 2ab'
loop_
_atom_site_label
_atom_site_type_symbol
_atom_site_fract_x
_atom_site_fract_y
_atom_site_fract_z
Li1 Li 0.1435 0.3565 0.0000
Hf1 Hf 0.1587 0.6587 0.5000
P1 P 0.0000 0.0000 0.5000
# - relative energy among the computed polymorphs (meV per atom) = 23
# - DFT formation energy (eV/f.u.) = -0.27

---

# YbPt3 PBE-GGA relaxed
data_YbPt3
_cell_length_a 4.1102
_cell_length_b 4.1102
_cell_length_c 4.1102
_cell_angle_alpha 90.00
_cell_angle_beta 90.00
_cell_angle_gamma 90.00
_symmetry_space_group_name_H-M 'P m -3 m'
_symmetry_Int_Tables_number 221
_symmetry_space_group_name_Hall '-P 4 2 3'
loop_
_atom_site_label
_atom_site_type_symbol
_atom_site_fract_x
_atom_site_fract_y
_atom_site_fract_z
Yb1 Yb 0.0000 0.0000 0.0000
Pt1 Pt 0.0000 0.5000 0.5000
# - DFT formation energy (eV/f.u.) = -2.86

---

Number 1: total magnetization 0.00 μB per cell. Number 2: total magnetization 0.00 μB per cell. Number 3: total magnetization 0.60 μB per cell.